AlTcIr2, optimized geometry, DFT PBEsol; size of the total moment = 0.00 μB per cell; theoretical density = 15.1 g/cm³; ΔE_f = -0.8 eV per formula unit; electronic total energy = -8.954 eV per atom; space group = P4/mmm, No. 123
1.0
3.7014 0.0000 0.0000
0.0000 3.8911 0.0000
0.0000 0.0000 3.8911
Ir Tc Al
2 1 1
Direct
0.0000 0.5000 0.0000 Ir
0.0000 0.0000 0.5000 Ir
0.5000 0.5000 0.5000 Tc
0.5000 0.0000 0.0000 Al

=====

TlAsC2, optimized geometry, DFT PBEsol; size of the total moment = 0.00 μB per cell; theoretical density = 9.2 g/cm³; ΔE_f = 9.7 eV per formula unit; electronic total energy = -4.329 eV per atom; space group = Fm-3m, No. 225
1.0
4.2663 0.0000 0.0000
2.1331 3.6947 0.0000
2.1331 1.2316 3.4834
C As Tl
2 1 1
Direct
0.7500 0.7500 0.7500 C
0.2500 0.2500 0.2500 C
0.0000 0.0000 0.0000 As
0.5000 0.5000 0.5000 Tl

=====

LiP2Rh, optimized geometry, DFT PBEsol; size of the total moment = 0.00 μB per cell; theoretical density = 4.9 g/cm³; ΔE_f = -1.8 eV per formula unit; electronic total energy = -5.879 eV per atom; space group = C2/m, No. 12
1.0
3.2981 0.0000 0.0000
-1.6490 3.6831 -0.0029
0.0000 -1.0693 4.8267
P Li Rh
2 1 1
Direct
0.2687 0.5374 0.3121 P
0.7313 0.4626 0.6879 P
0.5000 0.0000 0.0000 Li
0.0000 0.0000 0.5000 Rh

=====

Ti4Al2CN, optimized geometry, DFT PBEsol; size of the total moment = 0.00 μB per cell; theoretical density = 4.2 g/cm³; E_form (uncorrected) = -1.0126 eV/atom; electronic total energy = -8.468 eV per atom; space group = P-3m1, No. 164
1.0
-1.5569 -1.5459 -2.0541
2.5693 1.3565 -0.7694
6.8937 -11.2279 3.2249
Al N Ti C
2 1 4 1
Direct
0.3333 0.6667 0.2518 Al
0.6667 0.3333 0.7482 Al
0.0000 0.0000 0.5000 N
0.3333 0.6667 0.5836 Ti
0.6667 0.3333 0.0850 Ti
0.3333 0.6667 0.9150 Ti
0.6667 0.3333 0.4164 Ti
0.0000 0.0000 0.0000 C

=====

Sr2NdSbO6, optimized geometry, DFT PBEsol; size of the total moment = 0.00 μB per cell; theoretical density = 5.9 g/cm³; E_form (uncorrected) = -2.5651 eV/atom; electronic total energy = -7.055 eV per atom; space group = Fm-3m, No. 225
1.0
5.9922 0.0000 0.0000
2.9961 5.1894 0.0000
2.9961 1.7298 4.8926
Nd O Sr Sb
1 6 2 1
Direct
0.0000 0.0000 0.0000 Nd
0.7333 0.2667 0.2667 O
0.2667 0.7333 0.2667 O
0.7333 0.7333 0.2667 O
0.7333 0.2667 0.7333 O
0.2667 0.2667 0.7333 O
0.2667 0.7333 0.7333 O
0.7500 0.7500 0.7500 Sr
0.2500 0.2500 0.2500 Sr
0.5000 0.5000 0.5000 Sb

=====

Cr2OsRu, optimized geometry, DFT PBEsol; size of the total moment = 0.77 μB per cell; theoretical density = 12.8 g/cm³; ΔE_f = 1.4 eV per formula unit; electronic total energy = -10.377 eV per atom; space group = Pmmm, No. 47
1.0
2.8459 0.0000 0.0000
0.0000 4.1883 0.0000
0.0000 0.0000 4.3150
Os Cr Ru
1 2 1
Direct
0.5000 0.5000 0.0000 Os
0.0000 0.0000 0.0000 Cr
0.5000 0.0000 0.5000 Cr
0.0000 0.5000 0.5000 Ru

=====

Question: Which formula does entry 6 have?
Answer: Cr2OsRu